# GaNiRh GGA-PBE relaxed
data_GaNiRh
_cell_length_a 2.888
_cell_length_b 2.888
_cell_length_c 19.837
_cell_angle_alpha 90.00
_cell_angle_beta 90.00
_cell_angle_gamma 90.00
_symmetry_space_group_name_H-M 'I 4/m m m'
_symmetry_Int_Tables_number 139
_symmetry_space_group_name_Hall '-I 4 2'
loop_
_atom_site_label
_atom_site_fract_x
_atom_site_fract_y
_atom_site_fract_z
Ga1 0.000 0.000 0.141
Ni1 0.000 0.000 0.287
Rh1 0.000 0.000 0.436
# * energy relative to the elements: -0.173 eV per atom
# * DOS(E_F): 3.19 states/eV/f.u.
# * electronic total energy: -5.56 eV/atom
# * theoretical density: 9.287 g cm⁻³
# * total magnetization: 0.0 μB/cell